# LaTlCr2 (GGA-PBE, optimized geometry)
# - ΔE_f (eV per formula unit) = 2.8
# - DOS(E_F) (states/eV/atom) = 1.03
# - space-group type = P2/m
# - energy above the lowest structure with this stoichiometry (meV per atom) = 451
# - spin magnetization (μB per formula unit) = 0.0
data_LaTlCr2
_space_group_name_H-M_alt 'P 1'
_space_group_IT_number 1
_space_group_name_Hall 'P 1'
_cell_length_a 3.637
_cell_length_b 4.871
_cell_length_c 5.438
_cell_angle_alpha 90.00
_cell_angle_beta 90.57
_cell_angle_gamma 90.00
loop_
_atom_site_label
_atom_site_type_symbol
_atom_site_fract_x
_atom_site_fract_y
_atom_site_fract_z
_atom_site_occupancy
La1 La 0.000 0.000 0.000 1
Tl1 Tl 0.500 0.000 0.500 1
Cr1 Cr 0.419 0.500 0.837 1
Cr2 Cr 0.581 0.500 0.163 1